Entry 1:
NdIn4Pd6: relaxed, PBE.

Lattice parameters (Å, degrees): 7.0192 7.0192 7.0192 122.23 122.23 86.17
Sites, in units of the cell vectors:
Nd 0.0000 0.0000 0.0000
In 0.1074 0.1074 0.5870
In 0.4796 0.8926 0.0000
In 0.5204 0.5204 0.4130
In 0.8926 0.4796 0.0000
Pd 0.0000 0.5000 0.5000
Pd 0.2466 0.5764 0.0000
Pd 0.4236 0.4236 0.6703
Pd 0.5000 0.0000 0.5000
Pd 0.5764 0.2466 0.0000
Pd 0.7534 0.7534 0.3297

Values from the calculation:
ΔE_f = -0.38 eV/atom
Spin magnetization = 0.000 μB/atom
V = 21.428 Å³/atom
Mass density = 8.75 Mg/m³
Space-group type = No. 121
Final energy = -4.6396 eV/atom

Entry 2:
NdIn2Pd2: relaxed, PBE.

Lattice parameters (Å, degrees): 5.8439 5.8439 5.8439 49.91 49.91 49.91
Sites, in units of the cell vectors:
Nd 0.0000 0.0000 0.0000
In 0.2224 0.2224 0.2224
In 0.7776 0.7776 0.7776
Pd 0.4131 0.4131 0.4131
Pd 0.5869 0.5869 0.5869

Values from the calculation:
ΔE_f = -0.59 eV/atom
Spin magnetization = 0.000 μB/atom
V = 21.495 Å³/atom
Mass density = 9.07 Mg/m³
Space-group type = No. 166
Final energy = -4.7149 eV/atom

Entry 3:
Nd2In5Pd3: relaxed, PBE.

Lattice parameters (Å, degrees): 13.6504 13.6504 7.3391 90.00 90.00 160.59
Sites, in units of the cell vectors:
Nd 0.0217 0.9783 0.5000
Nd 0.3257 0.6743 0.5640
Nd 0.6743 0.3257 0.0640
Nd 0.9783 0.0217 0.0000
In 0.0988 0.9012 0.8685
In 0.2066 0.7934 0.3645
In 0.2089 0.7911 0.7739
In 0.3754 0.6246 0.0200
In 0.4477 0.5523 0.6704
In 0.5523 0.4477 0.1704
In 0.6246 0.3754 0.5200
In 0.7911 0.2089 0.2739
In 0.7934 0.2066 0.8645
In 0.9012 0.0988 0.3685
Pd 0.1082 0.8918 0.2534
Pd 0.2728 0.7272 0.0716
Pd 0.4530 0.5470 0.2818
Pd 0.5470 0.4530 0.7818
Pd 0.7272 0.2728 0.5716
Pd 0.8918 0.1082 0.7534

Values from the calculation:
ΔE_f = -0.64 eV/atom
Spin magnetization = 0.000 μB/atom
V = 22.726 Å³/atom
Mass density = 8.64 Mg/m³
Space-group type = No. 36
Final energy = -4.5185 eV/atom

Entry 4:
Nd3InPd: relaxed, PBE.

Lattice parameters (Å, degrees): 5.9214 6.2544 8.4151 78.23 87.57 71.79
Sites, in units of the cell vectors:
Nd 0.0000 0.0000 0.0000
Nd 0.0188 0.6870 0.4115
Nd 0.3228 0.0352 0.6111
Nd 0.3960 0.1984 0.1751
Nd 0.6374 0.6441 0.0115
Nd 0.6690 0.4225 0.6718
In 0.1536 0.4983 0.8260
In 0.8517 0.2468 0.3425
Pd 0.4968 0.6980 0.3386
Pd 0.8330 0.9297 0.6815

Values from the calculation:
ΔE_f = -0.42 eV/atom
Spin magnetization = 0.000 μB/atom
V = 28.975 Å³/atom
Mass density = 7.50 Mg/m³
Space-group type = No. 1
Final energy = -4.8708 eV/atom

Entry 5:
Nd4In21Pd10: relaxed, PBE.

Lattice parameters (Å, degrees): 11.9277 11.9277 17.2172 123.30 123.30 22.19
Sites, in units of the cell vectors:
Nd 0.1224 0.1224 0.3319
Nd 0.2295 0.2295 0.8264
Nd 0.7705 0.7705 0.1736
Nd 0.8776 0.8776 0.6681
In 0.0094 0.0094 0.0933
In 0.0644 0.0644 0.7979
In 0.1164 0.1164 0.5532
In 0.2016 0.2016 0.0064
In 0.2521 0.2521 0.2947
In 0.2989 0.2989 0.4999
In 0.3702 0.3702 0.8004
In 0.3839 0.3839 0.2942
In 0.3985 0.3985 0.0006
In 0.4570 0.4570 0.6321
In 0.5000 0.5000 0.5000
In 0.5430 0.5430 0.3679
In 0.6015 0.6015 0.9994
In 0.6161 0.6161 0.7058
In 0.6298 0.6298 0.1996
In 0.7011 0.7011 0.5001
In 0.7479 0.7479 0.7053
In 0.7984 0.7984 0.9936
In 0.8836 0.8836 0.4468
In 0.9356 0.9356 0.2021
In 0.9906 0.9906 0.9067
Pd 0.0240 0.0240 0.6109
Pd 0.1372 0.1372 0.1095
Pd 0.2502 0.2502 0.6156
Pd 0.3454 0.3454 0.1104
Pd 0.4955 0.4955 0.8146
Pd 0.5045 0.5045 0.1854
Pd 0.6546 0.6546 0.8896
Pd 0.7498 0.7498 0.3844
Pd 0.8628 0.8628 0.8905
Pd 0.9760 0.9760 0.3891

Values from the calculation:
ΔE_f = -0.54 eV/atom
Spin magnetization = 0.000 μB/atom
V = 21.909 Å³/atom
Mass density = 8.78 Mg/m³
Space-group type = No. 12
Final energy = -4.2076 eV/atom

Entry 6:
NdIn2Pd: relaxed, PBE.

Lattice parameters (Å, degrees): 5.9675 5.9675 5.9675 45.41 45.41 45.41
Sites, in units of the cell vectors:
Nd 0.0000 0.0000 0.0000
In 0.2197 0.2197 0.2197
In 0.7803 0.7803 0.7803
Pd 0.5000 0.5000 0.5000

Values from the calculation:
ΔE_f = -0.53 eV/atom
Spin magnetization = 0.000 μB/atom
V = 24.549 Å³/atom
Mass density = 8.12 Mg/m³
Space-group type = No. 166
Final energy = -4.3890 eV/atom

Entry 7:
PmNdInPd: relaxed, PBE.

Lattice parameters (Å, degrees): 5.3135 5.3135 5.3135 60.00 60.00 60.00
Sites, in units of the cell vectors:
Pm 0.0000 0.0000 0.0000
Nd 0.5000 0.5000 0.5000
In 0.2500 0.2500 0.2500
Pd 0.7500 0.7500 0.7500

Values from the calculation:
ΔE_f = -0.53 eV/atom
Spin magnetization = 0.000 μB/atom
V = 26.520 Å³/atom
Mass density = 7.99 Mg/m³
Space-group type = No. 216
Final energy = -4.8905 eV/atom

Entry 8:
PrNdInPd: relaxed, PBE.

Lattice parameters (Å, degrees): 5.3512 5.3512 5.3512 60.00 60.00 60.00
Sites, in units of the cell vectors:
Pr 0.0000 0.0000 0.0000
Nd 0.5000 0.5000 0.5000
In 0.2500 0.2500 0.2500
Pd 0.7500 0.7500 0.7500

Values from the calculation:
ΔE_f = -0.51 eV/atom
Spin magnetization = 0.000 μB/atom
V = 27.088 Å³/atom
Mass density = 7.76 Mg/m³
Space-group type = No. 216
Final energy = -4.8793 eV/atom

Entry 9:
Nd2InPd2Pt5: relaxed, PBE.

Lattice parameters (Å, degrees): 9.5423 9.5423 4.2079 90.00 90.00 90.00
Sites, in units of the cell vectors:
Nd 0.1716 0.3284 0.0000
Nd 0.3284 0.8284 0.0000
Nd 0.6716 0.1716 0.0000
Nd 0.8284 0.6716 0.0000
In 0.0000 0.0000 0.0000
In 0.5000 0.5000 0.0000
Pd 0.1263 0.6263 0.0000
Pd 0.3737 0.1263 0.0000
Pd 0.6263 0.8737 0.0000
Pd 0.8737 0.3737 0.0000
Pt 0.0000 0.5000 0.5000
Pt 0.0630 0.7956 0.5000
Pt 0.2044 0.0630 0.5000
Pt 0.2956 0.5630 0.5000
Pt 0.4370 0.2956 0.5000
Pt 0.5000 0.0000 0.5000
Pt 0.5630 0.7044 0.5000
Pt 0.7044 0.4370 0.5000
Pt 0.7956 0.9370 0.5000
Pt 0.9370 0.2044 0.5000

Values from the calculation:
ΔE_f = -0.77 eV/atom
Spin magnetization = 0.000 μB/atom
V = 19.158 Å³/atom
Mass density = 13.80 Mg/m³
Space-group type = No. 127
Final energy = -6.0549 eV/atom

Entry 10:
NdInPdPt: relaxed, PBE.

Lattice parameters (Å, degrees): 5.3084 5.3084 5.3084 52.33 52.33 52.33
Sites, in units of the cell vectors:
Nd 0.0000 0.0000 0.0000
In 0.5030 0.5030 0.5030
Pd 0.7812 0.7812 0.7812
Pt 0.2194 0.2194 0.2194

Values from the calculation:
ΔE_f = -0.83 eV/atom
Spin magnetization = 0.000 μB/atom
V = 21.680 Å³/atom
Mass density = 10.73 Mg/m³
Space-group type = No. 160
Final energy = -5.5102 eV/atom

Entry 11:
NdPuInPd: relaxed, PBE.

Lattice parameters (Å, degrees): 5.2649 5.2649 5.2649 60.00 60.00 60.00
Sites, in units of the cell vectors:
Nd 0.0000 0.0000 0.0000
Pu 0.5000 0.5000 0.5000
In 0.2500 0.2500 0.2500
Pd 0.7500 0.7500 0.7500

Values from the calculation:
ΔE_f = -0.30 eV/atom
Spin magnetization = 1.414 μB/atom
V = 25.798 Å³/atom
Mass density = 9.81 Mg/m³
Space-group type = No. 216
Final energy = -7.0618 eV/atom

Entry 12:
NdIn3PdRh: relaxed, PBE.

Lattice parameters (Å, degrees): 7.1687 7.1687 5.8839 90.00 90.00 104.14
Sites, in units of the cell vectors:
Nd 0.1873 0.8127 0.7500
Nd 0.8127 0.1873 0.2500
In 0.2450 0.2450 0.0000
In 0.2450 0.2450 0.5000
In 0.3177 0.6823 0.2500
In 0.6823 0.3177 0.7500
In 0.7550 0.7550 0.0000
In 0.7550 0.7550 0.5000
Pd 0.4381 0.5619 0.7500
Pd 0.5619 0.4381 0.2500
Rh 0.0803 0.9197 0.2500
Rh 0.9197 0.0803 0.7500

Values from the calculation:
ΔE_f = -0.37 eV/atom
Spin magnetization = 0.000 μB/atom
V = 24.435 Å³/atom
Mass density = 7.91 Mg/m³
Space-group type = No. 63
Final energy = -4.6241 eV/atom

Question: Which value of spin magnetization does entry 5 give?
Answer: 0.000 μB/atom

Question: Number 6 is which compound?
Answer: NdIn2Pd

Question: The highest final energy belongs to which entry?
Answer: Nd4In21Pd10